A relaxed NbCuAu2 crystal. Source: Alexandria, functional PBE-GGA.

Cell lengths 5.8351, 5.8351, 5.8351 Å; angles 102.40, 102.40, 124.79 degrees
Positions (direct):
Nb: 0.0000 0.0000 0.0000
Nb: 0.7500 0.2500 0.5000
Cu: 0.2500 0.7500 0.5000
Cu: 0.5000 0.5000 0.0000
Au: 0.1457 0.6250 0.0207
Au: 0.3750 0.3957 0.5207
Au: 0.6043 0.1250 0.9793
Au: 0.8750 0.8543 0.4793

Values from the calculation:
size of the total moment	0.000	μB per formula unit
volume	18.07	Å³/atom
energy above the most stable polymorph in this dataset	0.496	eV/atom
formation enthalpy at 0 K	1.7	eV/f.u.